(1)
! CaThOsRh, relaxed, DFT PBE; values from VASP
! Theoretical density in g/cm³: 11.1
! Symmetry: F-43m
! V in A^3/atom: 21.10
! DOS at the Fermi energy in states/eV per atom: 0.878
! Uncorrected energy in eV/atom: -7.240
&SYSTEM
  ibrav = 0, nat = 4, ntyp = 4
/
ATOMIC_SPECIES
Ca 40.08 Ca.upf
Os 190.23 Os.upf
Th 232.04 Th.upf
Rh 102.91 Rh.upf
CELL_PARAMETERS angstrom
4.924 0.000 0.000
2.462 4.264 0.000
2.462 1.421 4.020
ATOMIC_POSITIONS crystal
Ca 0.250 0.250 0.250
Os 0.000 0.000 0.000
Th 0.750 0.750 0.750
Rh 0.500 0.500 0.500

(2)
! Zn3CrCl, relaxed, DFT PBE; values from VASP
! Theoretical density in g/cm³: 3.6
! Formation energy (no corrections) in eV/atom: 0.464
! Symmetry: Pm-3m
! V in A^3/atom: 26.22
! DOS at the Fermi energy in states/eV per atom: 0.210
! Uncorrected energy in eV/atom: -2.594
&SYSTEM
  ibrav = 0, nat = 5, ntyp = 3
/
ATOMIC_SPECIES
Zn 65.41 Zn.upf
Cl 35.45 Cl.upf
Cr 52.00 Cr.upf
CELL_PARAMETERS angstrom
-0.153 4.732 -1.842
-5.047 0.063 0.581
0.564 1.848 4.699
ATOMIC_POSITIONS crystal
Zn 0.000 0.000 0.500
Zn 0.000 0.500 0.000
Zn 0.500 0.000 0.000
Cl 0.500 0.500 0.500
Cr 0.000 0.000 0.000

(3)
! NbCoAs2Se, relaxed, DFT PBE; values from VASP
! Theoretical density in g/cm³: 6.7
! Formation energy (no corrections) in eV/atom: 0.538
! Symmetry: P4/mmm
! V in A^3/atom: 18.81
! DOS at the Fermi energy in states/eV per atom: 1.163
! Uncorrected energy in eV/atom: -5.454
&SYSTEM
  ibrav = 0, nat = 5, ntyp = 4
/
ATOMIC_SPECIES
As 74.92 As.upf
Co 58.93 Co.upf
Se 78.96 Se.upf
Nb 92.91 Nb.upf
CELL_PARAMETERS angstrom
4.464 0.000 0.000
0.000 4.464 0.000
0.000 0.000 4.718
ATOMIC_POSITIONS crystal
As 0.000 0.500 0.000
As 0.500 0.000 0.000
Co 0.000 0.000 0.000
Se 0.000 0.000 0.500
Nb 0.500 0.500 0.500